First-principles (PBE) data for a relaxed structure of PaTiH, as listed in Alexandria via LeMat-Bulk.

For the relative energy among the computed polymorphs, the calculation gives 456 meV/atom. The space group is No. 12. The magnetization is 0.0000 μB/atom. The density of states at the Fermi level is 8.667 states/eV/cell.

Unit cell a=5.4774 b=5.4774 c=5.6817 alpha=75.88 beta=126.42 gamma=129.58
With the nearest neighbours (Å) after each atom.
Fractional positions:
H: 0.0532 0.6734 0.7266  2 Ti 2.01
H: 0.9468 0.3266 0.2734  2 Ti 2.01
Pa: 0.2424 0.9140 0.1564  3 H 2.37-2.65
Pa: 0.7576 0.0860 0.8436  3 H 2.37-2.65
Ti: 0.0000 0.0000 0.5000  2 H 2.01
Ti: 0.5000 0.5000 0.5000  2 H 2.01